(1)
This record from the Alexandria database describes a relaxed CsBiS2O6 crystal. The functional is PBE.

The total DFT energy (no corrections) comes out at -5.6670 eV per atom. The value obtained for the uncorrected formation energy is -1393 meV per atom. Its space group is C2/c, No. 15. The size of the total moment is 0.0 μB/f.u.

abc: 7.1437 7.1437 8.3791
angles: 109.45 109.45 92.00
Fractional coordinates of all 20 atoms:
Cs  0.0744  0.9256  0.7500
Cs  0.9256  0.0744  0.2500
Bi  0.3571  0.6429  0.2500
Bi  0.6429  0.3571  0.7500
S  0.1421  0.4566  0.7562
S  0.4566  0.1421  0.2562
S  0.5434  0.8579  0.7438
S  0.8579  0.5434  0.2438
O  0.0181  0.6566  0.2032
O  0.2731  0.6173  0.9426
O  0.2751  0.2975  0.7078
O  0.2975  0.2751  0.2078
O  0.3434  0.9819  0.2968
O  0.3827  0.7269  0.5574
O  0.6173  0.2731  0.4426
O  0.6566  0.0181  0.7032
O  0.7025  0.7249  0.7922
O  0.7249  0.7025  0.2922
O  0.7269  0.3827  0.0574
O  0.9819  0.3434  0.7968



(2)
This record from the Alexandria database describes a relaxed CsBiS2O8 crystal. The functional is PBE.

The total DFT energy (no corrections) comes out at -5.9475 eV per atom. The value obtained for the uncorrected formation energy is -1560 meV per atom. Its space group is R-3, No. 148. The size of the total moment is 0.0 μB/f.u.

abc: 9.5163 9.5163 9.5163
angles: 32.05 32.05 32.05
Fractional coordinates of all 12 atoms:
Cs  0.0000  0.0000  0.0000
Bi  0.5000  0.5000  0.5000
S  0.2381  0.2381  0.2381
S  0.7619  0.7619  0.7619
O  0.0553  0.7704  0.5177
O  0.2296  0.4823  0.9447
O  0.2921  0.2921  0.2921
O  0.4823  0.9447  0.2296
O  0.5177  0.0553  0.7704
O  0.7079  0.7079  0.7079
O  0.7704  0.5177  0.0553
O  0.9447  0.2296  0.4823



size of the total moment of number 2 (CsBiS2O8)? 0.0 μB/f.u.